# BaLi (PBE, relaxed)
# **ΔE to the lowest computed polymorph**: 0.000 eV per atom
# **Calculated total energy**: -1.8754 eV/atom
data_BaLi
_chemical_formula_sum 'Ba2 Li2'
_cell_length_a 5.0443
_cell_length_b 5.2509
_cell_length_c 7.2216
_cell_angle_alpha 90.00
_cell_angle_beta 110.32
_cell_angle_gamma 90.00
_symmetry_space_group_name_H-M 'P 1 21/m 1'
_symmetry_Int_Tables_number 11
loop_
_symmetry_equiv_pos_as_xyz
'x,y,z'
'-x,-y,-z'
'-x,y+1/2,-z'
'x,-y+1/2,z'
loop_
_atom_site_label
_atom_site_fract_x
_atom_site_fract_y
_atom_site_fract_z
Ba1 0.1442 0.2500 0.2890
Li1 0.4387 0.2500 0.8765

=====

# BaLi (PBE, relaxed)
# **ΔE to the lowest computed polymorph**: 0.047 eV per atom
# **Calculated total energy**: -1.8287 eV/atom
data_BaLi
_chemical_formula_sum 'Ba2 Li2'
_cell_length_a 6.1413
_cell_length_b 6.1413
_cell_length_c 5.3183
_cell_angle_alpha 90.00
_cell_angle_beta 90.00
_cell_angle_gamma 120.00
_symmetry_space_group_name_H-M 'P 63/m m c'
_symmetry_Int_Tables_number 194
_symmetry_space_group_name_Hall '-P 6c 2c'
loop_
_atom_site_label
_atom_site_fract_x
_atom_site_fract_y
_atom_site_fract_z
Ba1 0.3333 0.6667 0.2500
Li1 0.0000 0.0000 0.0000

=====

# BaLi (PBE, relaxed)
# **ΔE to the lowest computed polymorph**: 0.007 eV per atom
# **Calculated total energy**: -1.8686 eV/atom
data_BaLi
_chemical_formula_sum 'Ba2 Li2'
_cell_length_a 4.1547
_cell_length_b 4.1547
_cell_length_c 9.6387
_cell_angle_alpha 90.00
_cell_angle_beta 90.00
_cell_angle_gamma 90.00
_symmetry_space_group_name_H-M 'P 4/n m m'
_symmetry_Int_Tables_number 129
loop_
_symmetry_equiv_pos_as_xyz
'x,y,z'
'-x,-y,-z'
'-y+1/2,x,z'
'y+1/2,-x,-z'
'-x+1/2,-y+1/2,z'
'x+1/2,y+1/2,-z'
'y,-x+1/2,z'
'-y,x+1/2,-z'
'x+1/2,-y,-z'
'-x+1/2,y,z'
'-y,-x,-z'
'y,x,z'
'-x,y+1/2,-z'
'x,-y+1/2,z'
'y+1/2,x+1/2,-z'
'-y+1/2,-x+1/2,z'
loop_
_atom_site_label
_atom_site_fract_x
_atom_site_fract_y
_atom_site_fract_z
Ba1 0.2500 0.2500 0.1831
Li1 0.2500 0.2500 0.5588

=====

# BaLi3 (PBE, relaxed)
# **Calculated total energy**: -1.7180 eV/atom
data_BaLi3
_chemical_formula_sum 'Ba4 Li12'
_cell_length_a 8.6420
_cell_length_b 10.0173
_cell_length_c 5.9307
_cell_angle_alpha 90.00
_cell_angle_beta 90.00
_cell_angle_gamma 90.00
_symmetry_space_group_name_H-M 'C m c m'
_symmetry_Int_Tables_number 63
_symmetry_space_group_name_Hall '-C 2c 2'
loop_
_atom_site_label
_atom_site_fract_x
_atom_site_fract_y
_atom_site_fract_z
Ba1 0.0000 0.1018 0.2500
Li1 0.0000 0.4582 0.2500
Li2 0.1623 0.2521 0.7500

=====

no.,formation energy from the elements (kJ per mole of atoms)
1,4
2,9
3,5
4,19